Compound: CrInTeF2
Source: Alexandria
Functional: PBE with a Hubbard U
Structure: relaxed

POSCAR file:
```
CrInTeF2
1.0
4.155 0.000 0.000
0.000 4.155 0.000
0.000 0.000 6.380
Cr In Te F
1 1 1 2
direct
0.000 0.000 0.000
0.500 0.500 0.500
0.000 0.000 0.500
0.000 0.500 0.000
0.500 0.000 0.000
```

Computed properties:
Energy (eV per atom): -4.938
Total magnetic moment (μB per atom): 0.80